Entry 1:
The following is a DFT calculation (GGA-PBEsol) of a geometry-optimized AgBr2Cl2 structure.

Structure (CIF):
```
data_AgBr2Cl2
_cell_length_a 6.438
_cell_length_b 6.438
_cell_length_c 6.949
_cell_angle_alpha 90.00
_cell_angle_beta 90.00
_cell_angle_gamma 90.00
_space_group_name_H-M_alt 'P 4/m b m'
_space_group_IT_number 127
_space_group_name_Hall '-P 4 2ab'
loop_
_atom_site_label
_atom_site_type_symbol
_atom_site_fract_x
_atom_site_fract_y
_atom_site_fract_z
Ag1 Ag 0.000 0.000 0.000
Br1 Br 0.127 0.373 0.500
Cl1 Cl 0.168 0.668 0.000
```

Values from the calculation:
**Final energy**: -2.30 eV per atom

Entry 2:
The following is a DFT calculation (GGA-PBEsol) of a geometry-optimized AgBr2Cl structure.

Structure (CIF):
```
data_AgBr2Cl
_cell_length_a 4.1420
_cell_length_b 4.1420
_cell_length_c 23.2399
_cell_angle_alpha 90.00
_cell_angle_beta 90.00
_cell_angle_gamma 120.00
_space_group_name_H-M_alt 'R -3 m'
_space_group_IT_number 166
_space_group_name_Hall '-R 3 2"'
loop_
_atom_site_label
_atom_site_type_symbol
_atom_site_fract_x
_atom_site_fract_y
_atom_site_fract_z
Ag1 Ag 0.0000 0.0000 0.0000
Br1 Br 0.0000 0.0000 0.3948
Cl1 Cl 0.0000 0.0000 0.5000
```

Values from the calculation:
**Energy above the lowest structure with this stoichiometry**: 60 meV per atom
**Final energy**: -2.38 eV per atom

Entry 3:
The following is a DFT calculation (GGA-PBEsol) of a geometry-optimized AgBr2Cl structure.

Structure (CIF):
```
data_AgBr2Cl
_cell_length_a 3.695
_cell_length_b 7.051
_cell_length_c 8.057
_cell_angle_alpha 90.00
_cell_angle_beta 90.00
_cell_angle_gamma 90.00
_space_group_name_H-M_alt 'C m m 2'
_space_group_IT_number 35
loop_
_space_group_symop_operation_xyz
'x,y,z'
'-x,-y,z'
'-x,y,z'
'x,-y,z'
'x+1/2,y+1/2,z'
'-x+1/2,-y+1/2,z'
'-x+1/2,y+1/2,z'
'x+1/2,-y+1/2,z'
loop_
_atom_site_label
_atom_site_type_symbol
_atom_site_fract_x
_atom_site_fract_y
_atom_site_fract_z
Ag1 Ag 0.000 0.000 0.000
Br1 Br 0.000 0.000 0.489
Br2 Br 0.000 0.500 0.218
Cl1 Cl 0.000 0.500 0.807
```

Values from the calculation:
**Energy above the lowest structure with this stoichiometry**: 130 meV per atom
**Final energy**: -2.31 eV per atom

Q: What is the final energy in the first record?
A: -2.30 eV per atom